PaPt2RhO8 | PBE-GGA | optimized geometry

The density of states at the Fermi level comes out at 8.47 states/eV/f.u. The total moment comes out at 0.0 μB per formula unit. As for the crystal system: tetragonal. The raw formation energy comes out at -91.1 kJ per mole of atoms. The calculated total energy comes out at -6.6603 eV per atom.

It has space group I-4m2 (No. 119), with a = 6.660 Å, b = 6.660 Å, c = 7.212 Å, α = 90.00°, β = 90.00° and γ = 90.00°. Symmetry generates all atoms from Pa at (0.000, 0.000, 0.000), Pt at (0.000, 0.000, 0.500), Pt at (0.000, 0.500, 0.750), Rh at (0.000, 0.500, 0.250), O at (0.000, 0.189, 0.279) and O at (0.000, 0.326, 0.961).